This record from Alexandria describes an optimized crystal structure of Sr2CuAgGe. The functional is PBE.

abc: 5.894 5.894 4.398
angles: 90.00 90.00 90.00
Positions (direct):
Sr (0.000, 0.500, 0.000)
Sr (0.500, 0.000, 0.000)
Cu (0.000, 0.000, 0.000)
Ag (0.500, 0.500, 0.500)
Ge (0.000, 0.000, 0.500)

Results
**Density of states at the Fermi level**: 0.68 states/eV per cell
**Magnetic moment**: 0.0 μB per cell
**E above lowest polymorph**: 0 meV per atom
**Formation energy**: -0.157 eV/atom
**Density**: 4.6 Mg/m³
**E_tot**: -0.1155 hartree per atom